Record 1
{
  "formula": "CsTb4Se6",
  "functional": "PBE",
  "state": "optimized geometry",
  "spacegroup": "No. 121",
  "e_form_raw_mev_per_atom": -1504,
  "mass_density_g_cm3": 6.4,
  "relative_energy_kj_per_mol_fu": 281,
  "magnetic_moment_mub_per_cell": 0.0,
  "n_ef_per_ev_cell": 3.010,
  "final_energy_ev_per_cell": -56.82,
  "lattice_angstrom": [[-4.419, 5.652, -2.500], [-3.449, -5.603, 3.799], [4.959, 1.720, 5.493]],
  "species": ["Se", "Se", "Se", "Se", "Se", "Se", "Tb", "Tb", "Tb", "Tb", "Cs"],
  "fractional_positions": [[0.500, 0.000, 0.500], [0.692, 0.162, 0.162], [0.308, 0.470, 0.470], [0.000, 0.838, 0.530], [0.000, 0.530, 0.838], [0.500, 0.500, 0.000], [0.000, 0.208, 0.585], [0.622, 0.415, 0.415], [0.000, 0.585, 0.208], [0.378, 0.792, 0.792], [0.000, 0.000, 0.000]]
}

Record 2
{
  "formula": "CsTb5Se8",
  "functional": "PBE",
  "state": "optimized geometry",
  "spacegroup": "No. 8",
  "e_form_raw_mev_per_atom": -1854,
  "mass_density_g_cm3": 5.8,
  "magnetic_moment_mub_per_cell": 0.0,
  "n_ef_per_ev_cell": 0.000,
  "final_energy_ev_per_cell": -77.84,
  "lattice_angstrom": [[-2.844, 1.235, 2.797], [-3.018, -9.702, 1.215], [9.145, 0.664, 5.888]],
  "species": ["Se", "Se", "Se", "Se", "Se", "Se", "Se", "Se", "Tb", "Tb", "Tb", "Tb", "Tb", "Cs"],
  "fractional_positions": [[0.770, 0.853, 0.540], [0.831, 0.507, 0.662], [0.169, 0.493, 0.338], [0.578, 0.149, 0.156], [0.082, 0.812, 0.163], [0.918, 0.188, 0.836], [0.422, 0.851, 0.844], [0.230, 0.147, 0.460], [0.344, 0.046, 0.688], [0.704, 0.341, 0.407], [0.296, 0.659, 0.593], [0.656, 0.954, 0.312], [0.000, 0.000, 0.000], [0.500, 0.500, 0.000]]
}

Record 3
{
  "formula": "CsTb2Se3",
  "functional": "PBE",
  "state": "optimized geometry",
  "spacegroup": "No. 11",
  "e_form_raw_mev_per_atom": -1607,
  "mass_density_g_cm3": 6.4,
  "relative_energy_kj_per_mol_fu": 0,
  "magnetic_moment_mub_per_cell": 0.0,
  "n_ef_per_ev_cell": 4.474,
  "final_energy_ev_per_cell": -60.42,
  "lattice_angstrom": [[4.177, 0.000, 0.000], [0.000, 7.772, 0.036], [0.000, 2.591, 10.950]],
  "species": ["Cs", "Cs", "Se", "Se", "Se", "Se", "Se", "Se", "Tb", "Tb", "Tb", "Tb"],
  "fractional_positions": [[0.750, 0.528, 0.156], [0.250, 0.472, 0.844], [0.750, 0.108, 0.348], [0.250, 0.649, 0.364], [0.750, 0.351, 0.636], [0.250, 0.892, 0.652], [0.750, 0.170, 0.026], [0.250, 0.830, 0.974], [0.250, 0.999, 0.185], [0.750, 0.759, 0.507], [0.250, 0.241, 0.493], [0.750, 0.001, 0.815]]
}